[1]
# AgRh2Br2

An optimized crystal structure of AgRh2Br2 (PBE, the Alexandria database).

Unit cell a=7.2671 b=7.2671 c=3.5832 alpha=90.00 beta=90.00 gamma=90.00
With the nearest neighbours (Å) after each atom.
Atoms (fractional coordinates):
Rh  0.1563  0.3437  0.0000  2 Br 2.55, 2 Ag 2.74
Rh  0.8437  0.6563  0.0000  2 Br 2.55, 2 Ag 2.74
Br  0.1670  0.6670  0.5000  2 Rh 2.55
Br  0.8330  0.3330  0.5000  2 Rh 2.55
Rh  0.6563  0.1563  0.0000  2 Br 2.55, 2 Ag 2.74
Br  0.3330  0.1670  0.5000  2 Rh 2.55
Ag  0.0000  0.0000  0.0000  4 Rh 2.74
Ag  0.5000  0.5000  0.0000  4 Rh 2.74
Rh  0.3437  0.8437  0.0000  2 Br 2.55, 2 Ag 2.74
Br  0.6670  0.8330  0.5000  2 Rh 2.55

SG ... No. 127
Electronic total energy ... -3.682 eV/atom
Relative energy among the computed polymorphs ... 0.014 eV per atom

=====

[2]
# Ag5RhBr12

An optimized crystal structure of Ag5RhBr12 (PBE, the Alexandria database).

Unit cell a=6.7788 b=7.0197 c=12.7587 alpha=93.12 beta=96.46 gamma=61.13
With the nearest neighbours (Å) after each atom.
Atoms (fractional coordinates):
Ag  0.1682  0.6636  0.5000  4 Br 2.60-2.88
Br  0.1135  0.3329  0.3769  3 Ag 2.60-2.89
Ag  0.8318  0.3364  0.5000  4 Br 2.60-2.88
Br  0.4464  0.6671  0.3769  3 Ag 2.60-2.89
Br  0.9862  0.2902  0.8888  1 Rh 2.50, 1 Ag 2.74
Ag  0.6646  0.6707  0.0000  6 Br 2.74-2.93
Br  0.3200  0.0000  0.1193  1 Rh 2.51
Br  0.6800  0.0000  0.8807  1 Rh 2.51
Ag  0.5000  0.0000  0.5000  6 Br 2.59-2.89
Br  0.7235  0.2902  0.1112  1 Rh 2.50, 1 Ag 2.74
Br  0.2765  0.7098  0.8888  1 Rh 2.50, 1 Ag 2.74
Rh  0.0000  0.0000  0.0000  6 Br 2.50-2.51
Ag  0.3354  0.3293  0.0000  6 Br 2.74-2.93
Br  0.2218  0.0000  0.6229  1 Ag 2.59
Br  0.0138  0.7098  0.1112  1 Rh 2.50, 1 Ag 2.74
Br  0.7782  0.0000  0.3771  1 Ag 2.59
Br  0.8865  0.6671  0.6231  3 Ag 2.60-2.89
Br  0.5536  0.3329  0.6231  3 Ag 2.60-2.89

SG ... No. 12
Electronic total energy ... -2.555 eV/atom

=====

[3]
# Ag2RhBr

An optimized crystal structure of Ag2RhBr (PBE, the Alexandria database).

Unit cell a=3.0502 b=3.0502 c=9.4549 alpha=90.00 beta=90.00 gamma=120.29
With the nearest neighbours (Å) after each atom.
Atoms (fractional coordinates):
Ag  0.0000  0.0000  0.9868  2 Rh 2.76, 8 Ag 2.83-3.05
Br  0.0000  0.0000  0.5304  2 Rh 2.52
Ag  0.5000  0.5000  0.2396  8 Ag 2.83-3.05, 2 Br 3.14
Rh  0.5000  0.5000  0.7432  2 Br 2.52, 2 Ag 2.76

SG ... No. 35
Electronic total energy ... -3.293 eV/atom
Relative energy among the computed polymorphs ... 0.150 eV per atom

=====

[4]
# Ag2RhBr

An optimized crystal structure of Ag2RhBr (PBE, the Alexandria database).

Unit cell a=2.9635 b=2.9635 c=9.5742 alpha=90.00 beta=90.00 gamma=116.23
With the nearest neighbours (Å) after each atom.
Atoms (fractional coordinates):
Ag  0.0000  0.0000  0.5146  2 Rh 2.74, 4 Ag 2.96, 2 Br 2.98
Rh  0.5000  0.5000  0.7500  4 Ag 2.74, 4 Rh 2.96
Br  0.5000  0.5000  0.2500  6 Br 2.96-3.13, 4 Ag 2.98
Ag  0.0000  0.0000  0.9854  2 Rh 2.74, 4 Ag 2.96, 2 Br 2.98

SG ... No. 65
Electronic total energy ... -3.292 eV/atom
Relative energy among the computed polymorphs ... 0.151 eV per atom

=====

[5]
# Ag2RhBr

An optimized crystal structure of Ag2RhBr (PBE, the Alexandria database).

Unit cell a=4.7223 b=4.7223 c=4.7223 alpha=60.00 beta=60.00 gamma=60.00
With the nearest neighbours (Å) after each atom.
Atoms (fractional coordinates):
Ag  0.2500  0.2500  0.2500  4 Ag 2.89, 4 Br 2.89
Br  0.5000  0.5000  0.5000  4 Rh 2.89, 4 Ag 2.89
Ag  0.0000  0.0000  0.0000  4 Rh 2.89, 4 Ag 2.89
Rh  0.7500  0.7500  0.7500  4 Br 2.89, 4 Ag 2.89

SG ... No. 216
Electronic total energy ... -3.168 eV/atom
Relative energy among the computed polymorphs ... 0.275 eV per atom

=====

[6]
# Ag2RhBr

An optimized crystal structure of Ag2RhBr (PBE, the Alexandria database).

Unit cell a=5.1184 b=5.1184 c=5.1184 alpha=131.38 beta=131.38 gamma=71.20
With the nearest neighbours (Å) after each atom.
Atoms (fractional coordinates):
Ag  0.2500  0.7500  0.5000  4 Br 2.96, 4 Ag 2.96, 4 Rh 2.98
Rh  0.7500  0.2500  0.5000  4 Br 2.96, 8 Ag 2.96-2.98
Ag  0.0000  0.0000  0.0000  4 Rh 2.96, 4 Ag 2.96, 4 Br 2.98
Br  0.5000  0.5000  0.0000  8 Ag 2.96-2.98, 4 Rh 2.96

SG ... No. 119
Electronic total energy ... -3.190 eV/atom
Relative energy among the computed polymorphs ... 0.252 eV per atom

=====

Number 1: total magnetic moment 0.00 μB per cell, formation energy from raw total energies 498 meV/atom. Number 2: total magnetic moment 0.10 μB per cell, formation energy from raw total energies -239 meV/atom. Number 3: total magnetic moment 0.00 μB per cell, formation energy from raw total energies 389 meV/atom. Number 4: total magnetic moment 0.42 μB per cell, formation energy from raw total energies 390 meV/atom. Number 5: total magnetic moment 1.10 μB per cell, formation energy from raw total energies 514 meV/atom. Number 6: total magnetic moment 0.65 μB per cell, formation energy from raw total energies 491 meV/atom.